# 1
First-principles (PBE) data for a geometry-optimized CuPOsI2 structure, as listed in Alexandria.

```
data_CuPOsI2
_cell_length_a 5.570
_cell_length_b 4.248
_cell_length_c 5.570
_cell_angle_alpha 90.00
_cell_angle_beta 90.00
_cell_angle_gamma 90.00
_space_group_name_H-M_alt 'P 1'
_space_group_IT_number 1
loop_
_space_group_symop_operation_xyz
'x,y,z'
loop_
_atom_site_label
_atom_site_type_symbol
_atom_site_fract_x
_atom_site_fract_y
_atom_site_fract_z
_atom_site_occupancy
Os1 Os 0.500 0.500 0.500 1
I1 I 0.000 0.000 0.500 1
I2 I 0.500 0.000 0.000 1
Cu1 Cu 0.000 0.500 0.000 1
P1 P 0.000 0.000 0.000 1
```

Calculated values
**Magnetic moment**: 3.6 Bohr magnetons per cell
**Uncorrected formation energy**: 1.474 eV/atom

# 2
First-principles (PBE) data for a geometry-optimized Pr8CuOs3I4 structure, as listed in Alexandria.

```
data_Pr8CuOs3I4
_cell_length_a 8.467
_cell_length_b 9.557
_cell_length_c 8.467
_cell_angle_alpha 116.28
_cell_angle_beta 120.00
_cell_angle_gamma 90.00
_space_group_name_H-M_alt 'P 1'
_space_group_IT_number 1
loop_
_space_group_symop_operation_xyz
'x,y,z'
loop_
_atom_site_label
_atom_site_type_symbol
_atom_site_fract_x
_atom_site_fract_y
_atom_site_fract_z
_atom_site_occupancy
Pr1 Pr 0.730 0.689 0.460 1
Pr2 Pr 0.714 0.686 0.950 1
Pr3 Pr 0.270 0.311 0.540 1
Pr4 Pr 0.236 0.686 0.950 1
Pr5 Pr 0.764 0.314 0.050 1
Pr6 Pr 0.236 0.686 0.472 1
Pr7 Pr 0.764 0.314 0.528 1
Pr8 Pr 0.286 0.314 0.050 1
I1 I 0.500 0.000 0.500 1
I2 I 0.500 0.000 0.000 1
I3 I 0.000 0.000 0.500 1
I4 I 0.000 0.000 0.000 1
Os1 Os 0.000 0.500 0.500 1
Os2 Os 0.500 0.500 0.000 1
Os3 Os 0.500 0.500 0.500 1
Cu1 Cu 0.000 0.500 0.000 1
```

Calculated values
**Magnetic moment**: 0.0 Bohr magnetons per cell
**Uncorrected formation energy**: -0.556 eV/atom